[1]
Computed, not measured: an optimized crystal structure of Tb2NiGe3 at the PBE-GGA level of DFT.

POSCAR file:
```
Tb2NiGe3
1.0
-0.502 -3.764 -1.411
3.095 0.626 -2.772
4.712 -2.398 4.720
Ni Ge Tb
1 3 2
Cartesian
2.812 -2.340 -0.573
3.696 -3.891 3.249
0.638 -2.334 0.185
4.337 -3.117 0.955
1.579 0.297 -1.354
2.356 -1.199 2.360
```

Output
DOS(E_F), states/eV/cell: 2.66
Space-group type: Pmm2
Formation enthalpy at 0 K, eV/atom: -0.723
Offset from the most stable computed form, meV per atom: 0



[2]
Computed, not measured: an optimized crystal structure of KIn2Ru2 at the PBE-GGA level of DFT.

POSCAR file:
```
KIn2Ru2
1.0
-6.323 -4.913 2.337
-2.307 -0.824 -7.974
1.746 -2.371 -0.260
In Ru K
4 4 2
Cartesian
-1.564 -2.904 -0.822
-5.047 -5.476 -0.763
-5.320 -5.204 -5.075
-1.837 -2.633 -5.134
-4.077 -3.065 0.571
-1.579 -0.846 -2.894
-7.051 -4.892 -2.743
-4.554 -2.673 -6.208
0.000 0.000 0.000
-4.315 -2.869 -2.819
```

Output
DOS(E_F), states/eV/cell: 9.90
Space-group type: P4/mbm
Formation enthalpy at 0 K, eV/atom: 0.293



[3]
Computed, not measured: an optimized crystal structure of Ac8Sn2Pb3 at the PBE-GGA level of DFT.

POSCAR file:
```
Ac8Sn2Pb3
1.0
-2.803 0.839 -7.655
-1.802 -9.028 -0.330
-5.740 5.638 5.670
Ac Pb Sn
8 3 2
Cartesian
-4.077 -6.171 -2.038
-3.173 -1.638 -1.873
-7.172 -0.912 -0.442
-4.154 1.039 -5.766
-6.191 -3.590 3.452
-6.268 3.621 -0.276
-5.886 1.061 3.107
-4.459 -3.612 -5.422
-1.402 0.419 -3.828
-1.328 -6.655 -0.243
-0.474 -2.373 -0.087
-4.264 0.844 0.180
-6.081 -3.395 -2.495
```

Output
DOS(E_F), states/eV/cell: 9.61
Space-group type: C2/m
Formation enthalpy at 0 K, eV/atom: -0.245